The following is a DFT calculation (GGA+U) of TbMn2O5 after structural relaxation.

abc: 3.9555 5.3622 9.5887
angles: 90.00 90.00 111.64
Element x y z (fractional)
O  0.3323  0.6645  0.0158
O  0.9592  0.9183  0.6223
O  0.0408  0.0817  0.1223
O  0.6677  0.3355  0.5158
O  0.3323  0.6645  0.4842
O  0.6677  0.3355  0.9842
O  0.9592  0.9183  0.8777
O  0.2063  0.4125  0.7500
O  0.7937  0.5875  0.2500
O  0.0408  0.0817  0.3777
Mn  0.8564  0.7128  0.4469
Mn  0.8564  0.7128  0.0531
Mn  0.1436  0.2872  0.5531
Mn  0.1436  0.2872  0.9469
Tb  0.4203  0.8405  0.7500
Tb  0.5797  0.1595  0.2500

Properties
- D(E_F): 0.67 states/eV/f.u.
- Final energy: -122.25 eV for the cell shown
- Magnetization: 14.00 μB/cell
- Crystal system: orthorhombic
- Polymorph energy (0 for the lowest one): 0.115 eV/atom